BBrF | the Alexandria database | PBE-GGA | relaxed; calculated volume = 24.54 Å³ per atom; calculated total energy = -4.138 eV per atom; magnetization = 0.00 Bohr magnetons per cell; D(E_F) = 0.89 states/eV/f.u.; ΔE_f (raw) = -0.731 eV/atom; excess energy over the best structure of this formula in the dataset = 57.4 kJ/mol of atoms
1.0
-1.045 -4.983 1.395
1.740 0.683 3.743
-5.652 3.169 2.050
Br B F
2 2 2
Direct
0.875 0.000 0.855 Br
0.875 0.500 0.355 Br
0.018 0.000 0.372 B
0.018 0.500 0.872 B
0.270 0.000 0.402 F
0.270 0.500 0.902 F